This record from Alexandria describes crystalline TiP2Ir at its relaxed geometry. The functional is PBE.

The structure in CIF format:
```
data_TiP2Ir
_space_group_name_H-M_alt 'F m -3 m'
_space_group_IT_number 225
_space_group_name_Hall '-F 4 2 3'
_cell_length_a 6.033
_cell_length_b 6.033
_cell_length_c 6.033
_cell_angle_alpha 90.00
_cell_angle_beta 90.00
_cell_angle_gamma 90.00
loop_
_atom_site_label
_atom_site_fract_x
_atom_site_fract_y
_atom_site_fract_z
Ti1 0.000 0.000 0.000
P1 0.250 0.250 0.250
Ir1 0.000 0.000 0.500
```

Values from the calculation:
Energy above the lowest structure with this stoichiometry = 0.000 eV/atom
Crystal system = cubic
Calculated total energy = -116.9 eV per cell
Total moment = 0.0 μB/f.u.
ΔE_f = -0.41 eV per atom